Entry 1:
A geometry-optimized YHo2Al3 structure, computed with PBE.

The space group is P4/mmm (No. 123) and the conventional cell measures 3.5793, 3.5793 and 10.8296 Å, with angles of 90.00, 90.00 and 90.00 degrees. Symmetry generates all atoms from Y at (0.0000, 0.0000, 0.0000), Ho at (0.0000, 0.0000, 0.3344), Al at (0.5000, 0.5000, 0.1689) and Al at (0.5000, 0.5000, 0.5000).

The calculation puts the formation energy from the elements at -2.4 eV/f.u. As for the total energy: -29.27 eV/f.u.

Entry 2:
A geometry-optimized YHo2Al9 structure, computed with PBE.

The space group is R-3m (No. 166, hexagonal axes) and the conventional cell measures 5.5605, 5.5605 and 26.2537 Å, with angles of 90.00, 90.00 and 120.00 degrees. Symmetry generates all atoms from Y at (0.0000, 0.0000, 0.0000), Ho at (0.0000, 0.0000, 0.1423), Al at (0.0000, 0.0000, 0.3354), Al at (0.0000, 0.0000, 0.5000) and Al at (0.0074, 0.5037, 0.9163).

For the polymorph energy (0 for the lowest one), the calculation gives 0.680 eV/f.u. The calculation puts the formation energy from the elements at -4.4 eV/f.u. As for the total energy: -53.67 eV/f.u.